Cs2LiHgCl5 | GGA-PBE | relaxed

Cell lengths 9.9853, 9.9853, 14.1462 Å; angles 90.00, 90.00, 154.18 degrees
Closest atoms and distances in Å follow each position.
Fractional positions:
Cs  0.1194  0.8806  0.5000  7 Cl 3.46-3.65
Cs  0.1274  0.8726  0.1082  7 Cl 3.43-3.65
Cs  0.8726  0.1274  0.6082  7 Cl 3.43-3.65
Cs  0.8806  0.1194  0.0000  7 Cl 3.46-3.65
Li  0.4209  0.5791  0.2308  4 Cl 2.30-2.51
Li  0.5791  0.4209  0.7308  4 Cl 2.30-2.51
Hg  0.2090  0.7910  0.8186  2 Cl 2.48-2.53
Hg  0.7910  0.2090  0.3186  2 Cl 2.48-2.53
Cl  0.0791  0.9209  0.8117  2 Li 2.51, 1 Hg 2.53
Cl  0.2948  0.7052  0.4435  2 Hg 2.85
Cl  0.3050  0.6950  0.1756  1 Li 2.39
Cl  0.3359  0.6641  0.8058  1 Hg 2.48
Cl  0.4940  0.5060  0.1029  1 Li 2.30
Cl  0.5060  0.4940  0.6029  1 Li 2.30
Cl  0.6641  0.3359  0.3058  1 Hg 2.48
Cl  0.6950  0.3050  0.6756  1 Li 2.39
Cl  0.7052  0.2948  0.9435  2 Hg 2.85
Cl  0.9209  0.0791  0.3117  2 Li 2.51, 1 Hg 2.53

- N(E_F): 0.000 states/eV/f.u.
- Total moment: 0.0 μB per cell
- Formation energy from raw total energies: -13.44 eV per formula unit